1.
Density functional theory data (PBE) for Cs2OsPdS4 after structural relaxation.

Computed properties:
- Formation energy from raw total energies: -0.6042 eV/atom
- E_tot: -0.18132 Ha/atom

a = 14.156 Å, b = 12.402 Å, c = 7.861 Å
α = 85.53°, β = 60.86°, γ = 33.61°
Element x y z (fractional)
Cs 0.054 0.054 0.696
Cs 0.304 0.304 0.946
Cs 0.696 0.696 0.054
Cs 0.946 0.946 0.304
Os 0.375 0.375 0.375
Os 0.625 0.625 0.625
Pd 0.125 0.125 0.125
Pd 0.875 0.875 0.875
S 0.008 0.634 0.561
S 0.298 0.561 0.634
S 0.366 0.992 0.702
S 0.439 0.702 0.992
S 0.561 0.298 0.008
S 0.634 0.008 0.298
S 0.702 0.439 0.366
S 0.992 0.366 0.439



2.
Density functional theory data (PBE) for SrTlPS4 after structural relaxation.

Computed properties:
- Formation energy from raw total energies: -0.9345 eV/atom
- E_tot: -0.17067 Ha/atom

a = 6.786 Å, b = 6.648 Å, c = 8.845 Å
α = 90.00°, β = 106.46°, γ = 90.00°
Element x y z (fractional)
Sr 0.238 0.250 0.050
Sr 0.762 0.750 0.950
Tl 0.260 0.250 0.566
Tl 0.740 0.750 0.434
P 0.205 0.750 0.806
P 0.795 0.250 0.194
S 0.011 0.504 0.761
S 0.011 0.996 0.761
S 0.361 0.750 0.043
S 0.395 0.750 0.665
S 0.605 0.250 0.335
S 0.639 0.250 0.957
S 0.989 0.004 0.239
S 0.989 0.496 0.239



3.
Density functional theory data (PBE) for CsYPd2 after structural relaxation.

Computed properties:
- Relative energy among the computed polymorphs: 20 meV per atom
- E_tot: -0.16095 Ha/atom
- Calculated formation energy: 0.046 eV/atom

a = 5.243 Å, b = 5.243 Å, c = 5.243 Å
α = 60.00°, β = 60.00°, γ = 60.00°
Element x y z (fractional)
Cs 0.000 0.000 0.000
Y 0.500 0.500 0.500
Pd 0.250 0.250 0.250
Pd 0.750 0.750 0.750



4.
Density functional theory data (PBE) for LiZnClF2 after structural relaxation.

Computed properties:
- Formation energy from raw total energies: -1.5314 eV/atom
- E_tot: -0.12079 Ha/atom

a = 3.728 Å, b = 3.728 Å, c = 4.570 Å
α = 90.00°, β = 90.00°, γ = 90.00°
Element x y z (fractional)
Li 0.000 0.000 0.000
Zn 0.500 0.500 0.500
Cl 0.000 0.000 0.500
F 0.000 0.500 0.000
F 0.500 0.000 0.000



5.
Density functional theory data (PBE) for RbLaTaGeTe after structural relaxation.

Computed properties:
- Formation energy from raw total energies: -0.3711 eV/atom
- Relative energy among the computed polymorphs: 3 meV per atom
- E_tot: -0.20111 Ha/atom

a = 3.830 Å, b = 3.804 Å, c = 10.447 Å
α = 90.00°, β = 90.24°, γ = 90.00°
Element x y z (fractional)
Rb 0.000 0.000 0.000
La 0.995 0.000 0.586
Ta 0.992 0.500 0.323
Ge 0.492 0.000 0.314
Te 0.497 0.500 0.759



6.
Density functional theory data (PBE) for SrZnNi2H8 after structural relaxation.

Computed properties:
- E_tot: -0.12671 Ha/atom

a = 4.449 Å, b = 4.449 Å, c = 6.273 Å
α = 90.00°, β = 90.00°, γ = 120.00°
Element x y z (fractional)
Sr 0.000 0.000 0.000
Zn 0.000 0.000 0.500
Ni 0.333 0.667 0.627
Ni 0.667 0.333 0.373
H 0.031 0.678 0.341
H 0.322 0.354 0.341
H 0.333 0.667 0.876
H 0.354 0.031 0.659
H 0.646 0.969 0.341
H 0.667 0.333 0.124
H 0.678 0.646 0.659
H 0.969 0.322 0.659



7.
Density functional theory data (PBE) for MgSiOs after structural relaxation.

Computed properties:
- Formation energy from raw total energies: -0.2136 eV/atom
- E_tot: -0.23137 Ha/atom

a = 4.738 Å, b = 4.738 Å, c = 6.584 Å
α = 109.85°, β = 109.85°, γ = 38.92°
Element x y z (fractional)
Mg 0.160 0.160 0.081
Mg 0.840 0.840 0.919
Si 0.162 0.162 0.587
Si 0.838 0.838 0.413
Os 0.490 0.490 0.715
Os 0.510 0.510 0.285



8.
Density functional theory data (PBE) for Co3RuC after structural relaxation.

Computed properties:
- Relative energy among the computed polymorphs: 2380 meV per atom
- E_tot: -0.19264 Ha/atom
- Calculated formation energy: 2.721 eV/atom

a = 4.414 Å, b = 4.414 Å, c = 4.414 Å
α = 90.00°, β = 90.00°, γ = 90.00°
Element x y z (fractional)
Co 0.000 0.000 0.500
Co 0.000 0.500 0.000
Co 0.500 0.000 0.000
Ru 0.000 0.000 0.000
C 0.500 0.500 0.500



9.
Density functional theory data (PBE) for Pr2PaGe4Pt3 after structural relaxation.

Computed properties:
- E_tot: -0.23341 Ha/atom
- Calculated formation energy: -0.787 eV/atom

a = 4.349 Å, b = 4.349 Å, c = 11.361 Å
α = 90.00°, β = 90.00°, γ = 90.00°
Element x y z (fractional)
Pr 0.000 0.500 0.225
Pr 0.500 0.000 0.775
Pa 0.000 0.000 0.500
Ge 0.000 0.000 0.000
Ge 0.000 0.500 0.666
Ge 0.500 0.000 0.334
Ge 0.500 0.500 0.000
Pt 0.000 0.500 0.885
Pt 0.500 0.000 0.115
Pt 0.500 0.500 0.500



10.
Density functional theory data (PBE) for BaHgSe2Br after structural relaxation.

Computed properties:
- Formation energy from raw total energies: -0.2879 eV/atom
- Relative energy among the computed polymorphs: 511 meV per atom
- E_tot: -0.09045 Ha/atom

a = 6.624 Å, b = 6.624 Å, c = 6.269 Å
α = 90.00°, β = 90.00°, γ = 90.00°
Element x y z (fractional)
Ba 0.000 0.000 0.000
Hg 0.500 0.500 0.500
Se 0.000 0.500 0.000
Se 0.500 0.000 0.000
Br 0.000 0.000 0.500



11.
Density functional theory data (PBE) for LiAg2Pb after structural relaxation.

Computed properties:
- E_tot: -0.10339 Ha/atom
- Calculated formation energy: 0.018 eV/atom

a = 9.595 Å, b = 9.595 Å, c = 9.595 Å
α = 19.23°, β = 19.23°, γ = 19.23°
Element x y z (fractional)
Li 0.000 0.000 0.000
Ag 0.259 0.259 0.259
Ag 0.741 0.741 0.741
Pb 0.500 0.500 0.500



12.
Density functional theory data (PBE) for LiZrCr2Cu after structural relaxation.

Computed properties:
- E_tot: -0.21132 Ha/atom
- Calculated formation energy: 1.011 eV/atom

a = 4.451 Å, b = 4.451 Å, c = 4.024 Å
α = 90.00°, β = 90.00°, γ = 90.00°
Element x y z (fractional)
Li 0.000 0.000 0.000
Zr 0.500 0.500 0.000
Cr 0.000 0.500 0.500
Cr 0.500 0.000 0.500
Cu 0.000 0.000 0.500



13.
Density functional theory data (PBE) for PmHoTm2Te6 after structural relaxation.

Computed properties:
- Formation energy from raw total energies: -1.3463 eV/atom
- E_tot: -0.18590 Ha/atom

a = 8.292 Å, b = 8.292 Å, c = 8.292 Å
α = 55.29°, β = 55.29°, γ = 55.29°
Element x y z (fractional)
Pm 0.000 0.000 0.000
Ho 0.498 0.498 0.498
Tm 0.312 0.312 0.312
Tm 0.813 0.813 0.813
Te 0.086 0.705 0.420
Te 0.215 0.582 0.910
Te 0.420 0.086 0.705
Te 0.582 0.910 0.215
Te 0.705 0.420 0.086
Te 0.910 0.215 0.582



14.
Density functional theory data (PBE) for YZn2AgAu5 after structural relaxation.

Computed properties:
- E_tot: -0.12387 Ha/atom
- Calculated formation energy: -0.232 eV/atom

a = 4.729 Å, b = 4.729 Å, c = 8.017 Å
α = 90.00°, β = 90.00°, γ = 90.00°
Element x y z (fractional)
Y 0.000 0.000 0.000
Zn 0.500 0.500 0.352
Zn 0.500 0.500 0.648
Ag 0.000 0.000 0.500
Au 0.000 0.500 0.236
Au 0.000 0.500 0.764
Au 0.500 0.000 0.236
Au 0.500 0.000 0.764
Au 0.500 0.500 0.000



15.
Density functional theory data (PBE) for LaEr2Cu6 after structural relaxation.

Computed properties:
- E_tot: -0.16637 Ha/atom
- Calculated formation energy: -0.235 eV/atom

a = 7.363 Å, b = 7.363 Å, c = 3.636 Å
α = 90.00°, β = 90.00°, γ = 120.00°
Element x y z (fractional)
La 0.000 0.000 0.000
Er 0.333 0.667 0.000
Er 0.667 0.333 0.000
Cu 0.000 0.337 0.500
Cu 0.000 0.663 0.500
Cu 0.337 0.000 0.500
Cu 0.337 0.337 0.500
Cu 0.663 0.000 0.500
Cu 0.663 0.663 0.500



16.
Density functional theory data (PBE) for BaLa2YPt after structural relaxation.

Computed properties:
- Relative energy among the computed polymorphs: 1253 meV per atom
- E_tot: -0.14664 Ha/atom
- Calculated formation energy: 0.866 eV/atom

a = 5.657 Å, b = 5.657 Å, c = 6.093 Å
α = 90.00°, β = 90.00°, γ = 90.00°
Element x y z (fractional)
Ba 0.000 0.000 0.000
La 0.000 0.500 0.500
La 0.500 0.000 0.500
Y 0.000 0.000 0.500
Pt 0.500 0.500 0.000



17.
Density functional theory data (PBE) for Ac2YGa12Co3 after structural relaxation.

Computed properties:
- E_tot: -0.15052 Ha/atom
- Calculated formation energy: -0.078 eV/atom

a = 8.191 Å, b = 8.191 Å, c = 8.191 Å
α = 63.57°, β = 63.57°, γ = 63.57°
Element x y z (fractional)
Ac 0.090 0.090 0.090
Ac 0.910 0.910 0.910
Y 0.500 0.500 0.500
Ga 0.045 0.653 0.653
Ga 0.224 0.224 0.583
Ga 0.224 0.583 0.224
Ga 0.347 0.347 0.955
Ga 0.347 0.955 0.347
Ga 0.417 0.776 0.776
Ga 0.583 0.224 0.224
Ga 0.653 0.045 0.653
Ga 0.653 0.653 0.045
Ga 0.776 0.417 0.776
Ga 0.776 0.776 0.417
Ga 0.955 0.347 0.347
Co 0.000 0.500 0.500
Co 0.500 0.000 0.500
Co 0.500 0.500 0.000



18.
Density functional theory data (PBE) for NiSbTe after structural relaxation.

Computed properties:
- Formation energy from raw total energies: 0.0956 eV/atom
- E_tot: -0.15629 Ha/atom

a = 6.710 Å, b = 6.710 Å, c = 6.710 Å
α = 153.25°, β = 150.14°, γ = 40.52°
Element x y z (fractional)
Ni 0.000 0.000 0.000
Sb 0.383 0.383 0.000
Te 0.632 0.632 0.000



19.
Density functional theory data (PBE) for MgAl6Rh5 after structural relaxation.

Computed properties:
- E_tot: -0.21855 Ha/atom
- Calculated formation energy: -0.880 eV/atom

a = 7.454 Å, b = 7.454 Å, c = 7.454 Å
α = 146.60°, β = 131.66°, γ = 60.03°
Element x y z (fractional)
Mg 0.000 0.000 0.000
Al 0.086 0.827 0.260
Al 0.267 0.500 0.767
Al 0.433 0.173 0.260
Al 0.567 0.827 0.740
Al 0.733 0.500 0.233
Al 0.914 0.173 0.740
Rh 0.160 0.660 0.500
Rh 0.333 0.333 0.000
Rh 0.500 0.000 0.500
Rh 0.667 0.667 0.000
Rh 0.840 0.340 0.500



20.
Density functional theory data (PBE) for HfH3Os after structural relaxation.

Computed properties:
- E_tot: -0.22891 Ha/atom

a = 3.547 Å, b = 3.547 Å, c = 3.547 Å
α = 90.00°, β = 90.00°, γ = 90.00°
Element x y z (fractional)
Hf 0.000 0.000 0.000
H 0.000 0.500 0.500
H 0.500 0.000 0.500
H 0.500 0.500 0.000
Os 0.500 0.500 0.500



21.
Density functional theory data (PBE) for SrZr4Cr after structural relaxation.

Computed properties:
- E_tot: -0.25487 Ha/atom
- Calculated formation energy: 0.648 eV/atom

a = 6.020 Å, b = 6.020 Å, c = 6.020 Å
α = 60.00°, β = 60.00°, γ = 60.00°
Element x y z (fractional)
Sr 0.000 0.000 0.000
Zr 0.129 0.624 0.624
Zr 0.624 0.129 0.624
Zr 0.624 0.624 0.129
Zr 0.624 0.624 0.624
Cr 0.250 0.250 0.250



22.
Density functional theory data (PBE) for FeNiRu2 after structural relaxation.

Computed properties:
- E_tot: -0.29570 Ha/atom
- Calculated formation energy: 0.152 eV/atom

a = 8.593 Å, b = 8.593 Å, c = 8.593 Å
α = 17.79°, β = 17.79°, γ = 17.79°
Element x y z (fractional)
Fe 0.000 0.000 0.000
Ni 0.255 0.255 0.255
Ru 0.504 0.504 0.504
Ru 0.752 0.752 0.752



23.
Density functional theory data (PBE) for Ho3AgPt2 after structural relaxation.

Computed properties:
- E_tot: -0.21050 Ha/atom
- Calculated formation energy: -0.950 eV/atom

a = 3.533 Å, b = 3.533 Å, c = 10.530 Å
α = 90.00°, β = 90.00°, γ = 90.00°
Element x y z (fractional)
Ho 0.000 0.000 0.000
Ho 0.000 0.000 0.320
Ho 0.000 0.000 0.680
Ag 0.500 0.500 0.500
Pt 0.500 0.500 0.164
Pt 0.500 0.500 0.836



24.
Density functional theory data (PBE) for NiMo2H after structural relaxation.

Computed properties:
- Relative energy among the computed polymorphs: 0 meV per atom
- E_tot: -0.27360 Ha/atom

a = 4.948 Å, b = 4.948 Å, c = 4.948 Å
α = 107.71°, β = 107.71°, γ = 113.05°
Element x y z (fractional)
Ni 0.000 0.000 0.000
Ni 0.750 0.250 0.500
Mo 0.205 0.625 0.080
Mo 0.375 0.455 0.580
Mo 0.545 0.125 0.920
Mo 0.875 0.795 0.420
H 0.250 0.750 0.500
H 0.500 0.500 0.000



25.
Density functional theory data (PBE) for Rb2AgC2 after structural relaxation.

Computed properties:
- Relative energy among the computed polymorphs: 1211 meV per atom
- E_tot: -0.10183 Ha/atom
- Calculated formation energy: 1.876 eV/atom

a = 11.319 Å, b = 11.319 Å, c = 11.319 Å
α = 164.95°, β = 164.95°, γ = 21.34°
Element x y z (fractional)
Rb 0.135 0.135 0.000
Rb 0.865 0.865 0.000
Ag 0.500 0.500 0.000
C 0.250 0.750 0.500
C 0.750 0.250 0.500



We obtain M_tot values of 0.000; 0.000; 0.000; 0.000; 0.001; 0.000; 0.000; 0.866; 0.002; 0.600; 0.000; 0.000; 0.000; 0.000; 0.000; 0.144; 0.000; 0.000; 0.000; 0.000; 0.669; 0.685; 0.000; 0.000; 0.000 μB per atom for the records listed above, in that order.